The following is a PBE-GGA calculation of a geometry-optimized VI structure, from Alexandria via LeMat-Bulk.

Output
**Formation energy from raw total energies**: 0.228 eV/atom
**Total magnetization**: 0.000 μB per cell
**Density**: 5.1 g/cm3

a = 6.743 Å, b = 6.743 Å, c = 5.063 Å
α = 90.00°, β = 90.00°, γ = 90.00°
Space group P4_2/mnm (No. 136)
Symmetry-distinct sites (fractional):
V 0.096 0.096 0.000 [4 per cell]
I 0.216 0.216 0.500 [4 per cell]



The following is a PBE-GGA calculation of a geometry-optimized VI structure, from Alexandria via LeMat-Bulk.

Output
**Formation energy from raw total energies**: 0.649 eV/atom
**Total magnetization**: 24.002 μB per cell
**Density**: 3.6 g/cm3

a = 7.914 Å, b = 7.914 Å, c = 7.914 Å
α = 90.00°, β = 90.00°, γ = 90.00°
Space group Pm-3n (No. 223)
Symmetry-distinct sites (fractional):
V 0.000 0.250 0.500 [6 per cell]
I 0.000 0.500 0.250 [6 per cell]



The following is a PBE-GGA calculation of a geometry-optimized VI structure, from Alexandria via LeMat-Bulk.

Output
**Formation energy from raw total energies**: 0.459 eV/atom
**Total magnetization**: 9.615 μB per cell
**Density**: 5.2 g/cm3

a = 3.601 Å, b = 12.643 Å, c = 7.488 Å
α = 90.00°, β = 90.00°, γ = 90.00°
Space group Pmmn (No. 59, origin choice 2)
Symmetry-distinct sites (fractional):
V 0.250 0.065 0.003 [4 per cell]
V 0.250 0.750 0.483 [2 per cell]
I 0.250 0.250 0.796 [2 per cell]
I 0.250 0.582 0.725 [4 per cell]



no.,relative energy among the computed polymorphs (meV per atom),energy (eV/f.u.),density of states at the Fermi level (states/eV/cell)
1,286,-10.21,0.18
2,707,-9.37,17.81
3,518,-9.75,11.78